No. 1
Compound: BMoPbSe2
Source: Alexandria via LeMat-Bulk
Functional: meta-GGA SCAN
Structure: PBEsol geometry

Structure (extended XYZ):
```
5
Lattice="4.770 0.000 0.000 0.000 4.770 0.000 0.000 0.000 4.182" Properties=species:S:1:pos:R:3 pbc="T T T"
B 0.000 0.000 0.000
Mo 0.000 0.000 2.091
Pb 2.385 2.385 2.091
Se 0.000 2.385 0.000
Se 2.385 0.000 0.000
```

Output
- magnetization (μB/atom) = 0.541
- raw formation energy (eV/atom) = 0.775

No. 2
Compound: SrNiSb2
Source: Alexandria via LeMat-Bulk
Functional: meta-GGA SCAN
Structure: PBEsol geometry

Structure (extended XYZ):
```
8
Lattice="10.912 0.000 0.000 0.000 4.034 0.000 -2.156 0.000 4.836" Properties=species:S:1:pos:R:3 pbc="T T T"
Sr 0.000 0.000 0.000
Sr 5.456 2.017 0.000
Ni 1.337 0.000 2.662
Ni 6.793 2.017 2.662
Sb 0.070 2.017 3.427
Sb 2.464 2.017 1.589
Sb 5.526 0.000 3.427
Sb 7.920 0.000 1.589
```

Output
- magnetization (μB/atom) = 0.000
- raw formation energy (eV/atom) = -0.440

No. 3
Compound: TlAgHg2
Source: Alexandria via LeMat-Bulk
Functional: meta-GGA SCAN
Structure: PBEsol geometry

Structure (extended XYZ):
```
12
Lattice="3.206 0.000 0.000 -1.603 2.776 0.000 0.000 0.000 29.957" Properties=species:S:1:pos:R:3 pbc="T T T"
Tl 0.000 0.000 0.000
Tl 0.000 1.851 19.971
Tl 1.603 0.925 9.986
Ag 0.000 0.000 14.978
Ag 0.000 1.851 4.993
Ag 1.603 0.925 24.964
Hg 0.000 0.000 7.241
Hg 0.000 0.000 22.716
Hg 0.000 1.851 12.730
Hg 0.000 1.851 27.212
Hg 1.603 0.925 2.745
Hg 1.603 0.925 17.227
```

Output
- energy of formation (kJ/mol of formula units) = 31
- magnetization (μB/atom) = 0.000

No. 4
Compound: BiSb3H
Source: Alexandria via LeMat-Bulk
Functional: meta-GGA SCAN
Structure: PBEsol geometry

Structure (extended XYZ):
```
5
Lattice="5.855 0.000 0.000 0.000 5.855 0.000 0.000 0.000 5.855" Properties=species:S:1:pos:R:3 pbc="T T T"
Bi 0.000 0.000 0.000
Sb 0.000 0.000 2.927
Sb 0.000 2.927 0.000
Sb 2.927 0.000 0.000
H 2.927 2.927 2.927
```

Output
- magnetization (μB/atom) = 0.034
- energy (eV per atom) = -37.324

> Among the records above, which one has the highest magnetization?

BMoPbSe2